Here is a geometry-optimized HfCd2In structure from Alexandria. Energies are from PBE.

Output
Formation enthalpy at 0 K: 27.8 kJ/mol of atoms
Theoretical density: 9.0 g/cm³
Space-group type: I-42d, No. 122

The structure in POSCAR format:
```
HfCd2In
1.0
8.013 0.000 0.000
0.000 8.013 0.000
4.006 4.006 2.990
In Cd Hf
2 4 2
direct
0.500 0.500 0.000
0.250 0.750 0.500
0.616 0.125 0.250
0.875 0.866 0.750
0.375 0.384 0.750
0.134 0.625 0.250
0.000 0.000 0.000
0.750 0.250 0.500
```